## BIN2F (PBE)

Data for BIN2F after structural relaxation.

spin magnetization: 0.0000 μB/atom
E above lowest polymorph: 1.059 eV/atom
ΔE_f (raw): 10.3 eV/f.u.
volume: 14.84 Å³ per atom
symmetry: No. 123
final energy: -0.1210 hartree per atom

Cell lengths 4.0638, 4.0638, 4.4919 Å; angles 90.00, 90.00, 90.00 degrees
Positions (direct):
N  0.0000  0.5000  0.0000
N  0.5000  0.0000  0.0000
B  0.5000  0.5000  0.5000
I  0.0000  0.0000  0.0000
F  0.0000  0.0000  0.5000